No. 1
Below is a relaxed structure of AuCl2, with properties calculated at the PBE-GGA level.

The value obtained for the total magnetization is 0.000 μB per atom. The formation energy from raw total energies is -248.2 meV/atom. Its symmetry is P-1, No. 2.

Lattice parameters (Å, degrees): 7.260 7.346 7.352 67.21 88.11 89.85
Fractional positions:
1 Au 0.029 0.220 0.454
2 Au 0.245 0.878 0.920
3 Au 0.755 0.122 0.080
4 Au 0.971 0.780 0.546
5 Cl 0.193 0.591 0.199
6 Cl 0.242 0.692 0.719
7 Cl 0.253 0.060 0.116
8 Cl 0.298 0.174 0.629
9 Cl 0.702 0.826 0.371
10 Cl 0.747 0.940 0.884
11 Cl 0.758 0.308 0.281
12 Cl 0.807 0.409 0.801


No. 2
Below is a relaxed structure of PuCu2Pt4, with properties calculated at the PBE-GGA level.

The value obtained for the total magnetization is 0.632 μB per atom. Its symmetry is C2/m, No. 12. The value obtained for the formation energy is -388.1 meV per atom.

Lattice parameters (Å, degrees): 5.392 5.392 5.181 118.56 118.56 76.92
Fractional positions:
1 Pu 0.000 0.000 0.000
2 Cu 0.500 0.500 0.250
3 Cu 0.500 0.500 0.750
4 Pt 0.000 0.406 0.703
5 Pt 0.000 0.594 0.297
6 Pt 0.406 0.000 0.703
7 Pt 0.594 0.000 0.297


No. 3
Below is a relaxed structure of NbGe2PbO8, with properties calculated at the PBE-GGA level.

The value obtained for the total magnetization is 0.090 μB per atom. The formation energy from raw total energies is -1525.1 meV/atom. Its symmetry is R32, No. 155.

Lattice parameters (Å, degrees): 8.496 8.496 8.496 33.67 33.67 33.67
Fractional positions:
1 Nb 0.000 0.000 0.000
2 Ge 0.256 0.256 0.256
3 Ge 0.744 0.744 0.744
4 Pb 0.500 0.500 0.500
5 O 0.052 0.369 0.739
6 O 0.184 0.184 0.184
7 O 0.261 0.631 0.948
8 O 0.369 0.739 0.052
9 O 0.631 0.948 0.261
10 O 0.739 0.052 0.369
11 O 0.816 0.816 0.816
12 O 0.948 0.261 0.631


No. 4
Below is a relaxed structure of Ac3Sm7Hg4, with properties calculated at the PBE-GGA level.

The value obtained for the total magnetization is 0.000 μB per atom. Its symmetry is C2/m, No. 12. The value obtained for the formation energy is -237.5 meV per atom.

Lattice parameters (Å, degrees): 9.995 9.995 11.683 125.46 125.46 29.95
Fractional positions:
1 Ac 0.000 0.000 0.000
2 Ac 0.317 0.317 0.318
3 Ac 0.683 0.683 0.682
4 Sm 0.000 0.000 0.500
5 Sm 0.165 0.165 0.433
6 Sm 0.304 0.304 0.964
7 Sm 0.488 0.488 0.715
8 Sm 0.512 0.512 0.285
9 Sm 0.696 0.696 0.036
10 Sm 0.835 0.835 0.567
11 Hg 0.108 0.108 0.838
12 Hg 0.339 0.339 0.742
13 Hg 0.661 0.661 0.258
14 Hg 0.892 0.892 0.162